Computed, not measured: a relaxed Ho3U5As8 crystal at the PBE-GGA level of DFT.

Cell lengths 8.142, 8.142, 8.215 Å; angles 60.29, 60.29, 60.00 degrees
Each line ends with the local moment (μB).
Fractional coordinates of all 16 atoms:
U  0.500  0.500  0.500  2.25
Ho  0.000  0.000  0.500  0.00
As  0.750  0.250  0.749  -0.06
As  0.250  0.750  0.749  -0.06
U  0.500  0.500  0.000  2.29
U  0.000  0.000  0.000  2.27
U  0.000  0.500  0.000  2.29
Ho  0.000  0.500  0.500  0.00
As  0.250  0.250  0.249  -0.05
As  0.750  0.750  0.251  -0.06
As  0.750  0.250  0.251  -0.06
Ho  0.500  0.000  0.500  0.00
As  0.250  0.750  0.251  -0.06
U  0.500  0.000  0.000  2.29
As  0.250  0.250  0.749  -0.06
As  0.750  0.750  0.751  -0.05

The calculation puts the total moment at 12.484 Bohr magnetons per cell. For the formation energy, the calculation gives -1029 meV per atom. For the density of states at the Fermi level, the calculation gives 22.0 states/eV per cell. The value obtained for the calculated total energy is -123.83 eV for the cell shown.

---

Computed, not measured: a relaxed RbAgGeF6 crystal at the PBE-GGA level of DFT.

Cell lengths 5.982, 5.982, 5.517 Å; angles 90.03, 89.97, 59.89 degrees
Each line ends with the local moment (μB).
Fractional coordinates of all 9 atoms:
F  0.337  0.080  0.692  0.00
Ag  0.666  0.666  0.500  0.10
F  0.080  0.337  0.308  0.00
F  0.584  0.078  0.310  0.00
Rb  0.000  0.000  0.000  0.00
Ge  0.333  0.333  0.500  0.00
F  0.078  0.584  0.690  0.00
F  0.582  0.339  0.692  0.00
F  0.339  0.582  0.308  0.00

The calculation puts the total moment at 0.123 Bohr magnetons per cell. Its raw formation energy is -2.309 eV/atom. For the density of states at the Fermi level, the calculation gives 0.0 states/eV per cell. The value obtained for the calculated total energy is -40.45 eV for the cell shown.